Compound: U2AlB2Ru5
Source: the Alexandria database
Functional: GGA-PBE
Structure: optimized geometry

Unit cell a=3.1111 b=9.5468 c=9.5468 alpha=90.00 beta=90.00 gamma=90.00
Last column: magnetic moment on the atom in μB.
Positions (direct):
U 0.0000 0.6767 0.1767  1.00
U 0.0000 0.3233 0.8233  1.00
U 0.0000 0.1767 0.3233  1.00
U 0.0000 0.8233 0.6767  1.00
Al 0.0000 0.0000 0.0000  0.00
Al 0.0000 0.5000 0.5000  0.00
B 0.0000 0.1225 0.6225  0.00
B 0.0000 0.8775 0.3775  0.00
B 0.0000 0.6225 0.8775  0.00
B 0.0000 0.3775 0.1225  0.00
Ru 0.5000 0.2179 0.0709  -0.08
Ru 0.5000 0.7821 0.9291  -0.08
Ru 0.5000 0.0709 0.7821  -0.08
Ru 0.5000 0.7179 0.4291  -0.08
Ru 0.5000 0.9291 0.2179  -0.08
Ru 0.5000 0.2821 0.5709  -0.08
Ru 0.5000 0.5709 0.7179  -0.08
Ru 0.5000 0.4291 0.2821  -0.08
Ru 0.5000 0.5000 0.0000  -0.10
Ru 0.5000 0.0000 0.5000  -0.10

Summary:
Volume = 283.5 Å³/cell
E = -0.3363 Ha/atom
Formation enthalpy at 0 K = -0.5470 eV/atom
Space-group type = P4/mbm (127)

***

Compound: Ba2Na3Au2
Source: the Alexandria database
Functional: GGA-PBE
Structure: optimized geometry

Unit cell a=4.6243 b=6.4683 c=8.7126 alpha=94.18 beta=90.00 gamma=110.94
Positions (direct):
Ba 0.6245 0.2491 0.3621
Ba 0.3755 0.7509 0.6379
Na 0.3240 0.6481 0.1404
Na 0.0000 0.0000 0.0000
Na 0.6760 0.3519 0.8596
Au 0.0884 0.1767 0.6432
Au 0.9116 0.8233 0.3568

Summary:
Volume = 242.6 Å³/cell
Energy relative to the lowest polymorph listed for this composition = 0.00 kcal/mol of atoms
E = -0.0897 Ha/atom
Formation enthalpy at 0 K = -0.3893 eV/atom
Space-group type = C2/m (12)